The following is a PBE-GGA calculation of HoTePb2O6 after structural relaxation, from Alexandria via LeMat-Bulk.

a b c (Å): 5.9342 6.0195 10.3362
angles (deg): 90.00 124.99 90.00
Last column: nearest neighbours and their distance in Å.
Fractional coordinates of all 20 atoms:
Ho  0.0000  0.0000  0.0000  6 O 2.25-2.26
Ho  0.0000  0.5000  0.5000  6 O 2.25-2.26
Te  0.5000  0.0000  0.5000  6 O 2.09
Te  0.5000  0.5000  0.0000  6 O 2.09
Pb  0.2451  0.0298  0.7512  4 O 2.54-2.76
Pb  0.2451  0.4702  0.2512  4 O 2.54-2.76
Pb  0.7549  0.5298  0.7488  4 O 2.54-2.76
Pb  0.7549  0.9702  0.2488  4 O 2.54-2.76
O  0.1763  0.1986  0.4588  1 Te 2.09, 1 Ho 2.25
O  0.1763  0.3014  0.9588  1 Te 2.09, 1 Ho 2.25
O  0.2643  0.7171  0.4589  1 Te 2.09, 1 Ho 2.26
O  0.2643  0.7829  0.9589  1 Te 2.09, 1 Ho 2.26
O  0.3414  0.0203  0.2601  1 Te 2.09, 1 Ho 2.26
O  0.3414  0.4797  0.7601  1 Te 2.09, 1 Ho 2.26
O  0.6586  0.5203  0.2399  1 Te 2.09, 1 Ho 2.26
O  0.6586  0.9797  0.7399  1 Te 2.09, 1 Ho 2.26
O  0.7357  0.2171  0.0411  1 Te 2.09, 1 Ho 2.26
O  0.7357  0.2829  0.5411  1 Te 2.09, 1 Ho 2.26
O  0.8237  0.6986  0.0412  1 Te 2.09, 1 Ho 2.25
O  0.8237  0.8014  0.5412  1 Te 2.09, 1 Ho 2.25

Summary:
As for the electronic total energy: -122.753 eV/cell. The space-group type is P2_1/c, No. 14. The uncorrected formation energy comes out at -1649 meV/atom.



The following is a PBE-GGA calculation of Sn2BiBSb after structural relaxation, from Alexandria via LeMat-Bulk.

a b c (Å): 4.8292 4.8292 5.2494
angles (deg): 90.00 90.00 90.00
Last column: nearest neighbours and their distance in Å.
Fractional coordinates of all 5 atoms:
Sn  0.0000  0.5000  0.0000  2 B 2.41
Sn  0.5000  0.0000  0.0000  2 B 2.41
Bi  0.0000  0.0000  0.5000  4 Sb 3.41, 8 Sn 3.57
B  0.5000  0.5000  0.0000  4 Sn 2.41, 2 Sb 2.62
Sb  0.5000  0.5000  0.5000  2 B 2.62

Summary:
As for the electronic total energy: -20.103 eV/cell. The space-group type is P4/mmm, No. 123. The uncorrected formation energy comes out at 517 meV/atom.



The following is a PBE-GGA calculation of HfCuSCl2 after structural relaxation, from Alexandria via LeMat-Bulk.

a b c (Å): 4.4665 4.4665 4.9071
angles (deg): 90.00 90.00 90.00
Last column: nearest neighbours and their distance in Å.
Fractional coordinates of all 5 atoms:
Hf  0.0000  0.0000  0.0000  4 S 3.16, 8 Cl 3.32
Cu  0.5000  0.5000  0.5000  4 Cl 2.23, 2 S 2.45
S  0.5000  0.5000  0.0000  2 Cu 2.45
Cl  0.0000  0.5000  0.5000  2 Cu 2.23
Cl  0.5000  0.0000  0.5000  2 Cu 2.23

Summary:
As for the electronic total energy: -21.649 eV/cell. The space-group type is P4/mmm, No. 123. The uncorrected formation energy comes out at 44 meV/atom.



Which value of uncorrected formation energy does entry 2 give?
517 meV/atom